(1)
This record from Alexandria via LeMat-Bulk describes a geometry-optimized VInB2S structure. The functional is PBE-GGA.

a = 4.1338 Å, b = 5.5837 Å, c = 4.1338 Å
α = 90.00°, β = 90.00°, γ = 90.00°
Last column: nearest neighbours and their distance in Å.
Positions (direct):
In: 0.0000 0.0000 0.0000  4 B 2.07
B: 0.5000 0.0000 0.0000  2 In 2.07
B: 0.0000 0.0000 0.5000  2 In 2.07
S: 0.5000 0.5000 0.5000  4 V 2.92
V: 0.0000 0.5000 0.0000  2 In 2.79, 4 S 2.92

Properties
Space group   P4/mmm, No. 123
Formation energy from raw total energies   2.0611 eV/atom

---

(2)
This record from Alexandria via LeMat-Bulk describes a geometry-optimized Ag5Sb structure. The functional is PBE-GGA.

a = 5.6537 Å, b = 5.6537 Å, c = 7.1411 Å
α = 74.91°, β = 74.91°, γ = 32.00°
Last column: nearest neighbours and their distance in Å.
Positions (direct):
Ag: 0.3301 0.3301 0.3394  11 Ag 2.94-3.12, 1 Sb 3.04
Ag: 0.6079 0.6079 0.2845  10 Ag 2.89-3.12, 2 Sb 3.08
Ag: 0.0019 0.0019 0.0090  3 Sb 2.94-3.01, 9 Ag 2.98-3.14
Ag: 0.6634 0.6634 0.6617  10 Ag 2.92-3.12, 2 Sb 3.07
Ag: 0.9490 0.9490 0.5981  10 Ag 2.89-3.14, 2 Sb 3.05
Sb: 0.2812 0.2812 0.9406  10 Ag 2.94-3.08, 2 Sb 3.12

Properties
Space group   Cm, No. 8
Formation energy from raw total energies   0.0539 eV/atom

---

(3)
This record from Alexandria via LeMat-Bulk describes a geometry-optimized PuPa2Ti structure. The functional is PBE-GGA.

a = 4.8310 Å, b = 6.7213 Å, c = 5.7313 Å
α = 88.38°, β = 90.00°, γ = 111.06°
Last column: nearest neighbours and their distance in Å.
Positions (direct):
Ti: 0.6029 0.2057 0.8963  1 Pu 2.65, 1 Ti 2.81
Ti: 0.3971 0.7943 0.1037  1 Pu 2.65, 1 Ti 2.81
Pu: 0.4134 0.8267 0.5640  1 Pu 2.27, 1 Pa 2.50
Pu: 0.5866 0.1733 0.4360  1 Pu 2.27, 1 Pa 2.50
Pa: 0.9282 0.8564 0.7697  2 Pu 2.70
Pa: 0.7790 0.5579 0.3057  1 Pu 2.50
Pa: 0.0718 0.1436 0.2303  2 Pu 2.70
Pa: 0.2210 0.4421 0.6943  1 Pu 2.50

Properties
Space group   C2/m, No. 12
Formation energy from the elements   132 meV/atom

---

(4)
This record from Alexandria via LeMat-Bulk describes a geometry-optimized Li4Pu3SnO12 structure. The functional is PBE-GGA.

a = 7.0038 Å, b = 7.0038 Å, c = 7.0038 Å
α = 106.67°, β = 106.67°, γ = 106.67°
Last column: nearest neighbours and their distance in Å.
Positions (direct):
O: 0.9629 0.2481 0.3488  1 Li 1.89, 1 Pu 2.00
O: 0.2481 0.3488 0.9629  1 Li 1.89, 1 Pu 2.00
O: 0.3341 0.6659 0.5000  1 Li 1.86
O: 0.3488 0.9629 0.2481  1 Li 1.89, 1 Pu 2.00
O: 0.1059 0.8941 0.5000  1 Li 1.91, 2 Pu 2.12
O: 0.0371 0.6512 0.7519  1 Li 1.89, 1 Pu 2.00
O: 0.7519 0.0371 0.6512  1 Li 1.89, 1 Pu 2.00
O: 0.8941 0.5000 0.1059  1 Li 1.91, 2 Pu 2.12
O: 0.5000 0.3341 0.6659  1 Li 1.86
O: 0.6659 0.5000 0.3341  1 Li 1.86
O: 0.6512 0.7519 0.0371  1 Li 1.89, 1 Pu 2.00
O: 0.5000 0.1059 0.8941  1 Li 1.91, 2 Pu 2.12
Li: 0.5000 0.9364 0.0636  3 O 1.89-1.91
Li: 0.9364 0.0636 0.5000  3 O 1.89-1.91
Li: 0.0636 0.5000 0.9364  3 O 1.89-1.91
Li: 0.5000 0.5000 0.5000  3 O 1.86
Sn: 0.0000 0.0000 0.0000  6 O 2.69
Pu: 0.4406 0.0000 0.5594  6 O 2.00-2.12
Pu: 0.5594 0.4406 0.0000  6 O 2.00-2.12
Pu: 0.0000 0.5594 0.4406  6 O 2.00-2.12

Properties
Space group   R32, No. 155
Formation energy from raw total energies   -2.1697 eV/atom

---

Short version: E_tot = -3.807, -3.009, -10.173, -7.877 eV/atom, in the order given.